{
  "formula": "GdGePt",
  "functional": "GGA-PBE",
  "state": "relaxed",
  "lattice": [[-0.753, -2.992, 2.329], [3.592, 0.197, 1.415], [-2.777, 4.127, 1.195]],
  "species": ["Ge", "Gd", "Pt"],
  "frac_coords": [[0.958, 0.958, 0.916], [0.628, 0.628, 0.257], [0.264, 0.264, 0.527]],
  "e_form_ev_per_atom": -0.64,
  "density_g_cm3": 10.921,
  "energy_ry_per_atom": -0.6532
}


{
  "formula": "Nd2Er3Co2",
  "functional": "GGA-PBE",
  "state": "relaxed",
  "lattice": [[-3.079, -1.591, -1.072], [4.732, -3.024, -2.965], [-1.570, -2.656, 8.449]],
  "species": ["Nd", "Nd", "Er", "Er", "Er", "Co", "Co"],
  "frac_coords": [[0.830, 0.661, 0.199], [0.170, 0.339, 0.801], [0.500, 0.000, 0.000], [0.620, 0.240, 0.425], [0.380, 0.760, 0.575], [0.825, 0.650, 0.757], [0.175, 0.350, 0.243]],
  "e_form_ev_per_atom": -0.15,
  "density_g_cm3": 8.488,
  "energy_ry_per_atom": -0.4037
}


{
  "formula": "PmSm5In4",
  "functional": "GGA-PBE",
  "state": "relaxed",
  "lattice": [[3.596, 0.000, 0.000], [0.000, 3.596, 0.000], [0.000, 0.000, 22.635]],
  "species": ["Pm", "Sm", "Sm", "Sm", "Sm", "Sm", "In", "In", "In", "In"],
  "frac_coords": [[0.000, 0.000, 0.000], [0.500, 0.500, 0.117], [0.500, 0.500, 0.308], [0.500, 0.500, 0.500], [0.500, 0.500, 0.692], [0.500, 0.500, 0.883], [0.000, 0.000, 0.212], [0.000, 0.000, 0.404], [0.000, 0.000, 0.596], [0.000, 0.000, 0.788]],
  "e_form_ev_per_atom": -0.38,
  "density_g_cm3": 7.695,
  "energy_ry_per_atom": -0.3170
}